VASP calculation (GGA+U) on LaMn2ClO after structural relaxation.

a b c (Å): 4.2143 4.2143 5.8944
angles (deg): 90.00 90.00 90.00
Last column: nearest neighbours and their distance in Å.
Sites, in units of the cell vectors:
La1 0.0000 0.0000 0.0000  2 O 2.95, 4 Cl 2.98
Mn1 0.0000 0.5000 0.5000  2 O 2.11
Mn2 0.5000 0.0000 0.5000  2 O 2.11
Cl1 0.5000 0.5000 0.0000  4 La 2.98
O1 0.0000 0.0000 0.5000  4 Mn 2.11

Calculated values
As for the total energy: -6.090 eV per atom. The calculation puts the density of states at the Fermi level at 4.0 states/eV/f.u. Its space group is No. 123.